A plane-wave DFT calculation with PBE was carried out for a relaxed BaYNbSnO6 crystal.

As for the calculated volume: 154 Å³ per cell. The space-group type is No. 216. The value obtained for the relative energy among the computed polymorphs is 60 meV per atom. The calculation puts the energy at -77.670 eV for the cell shown. The formation energy from raw total energies is -2.546 eV/atom.

The structure in POSCAR format:
```
BaYNbSnO6
1.0
0.0000 4.2521 4.2521
4.2521 0.0000 4.2521
4.2521 4.2521 0.0000
O Ba Nb Y Sn
6 1 1 1 1
direct
0.7630 0.2370 0.2370
0.7630 0.7630 0.2370
0.2370 0.7630 0.2370
0.2370 0.7630 0.7630
0.2370 0.2370 0.7630
0.7630 0.2370 0.7630
0.2500 0.2500 0.2500
0.0000 0.0000 0.0000
0.5000 0.5000 0.5000
0.7500 0.7500 0.7500
```

---

A plane-wave DFT calculation with PBE was carried out for a relaxed LaNiW2 crystal.

As for the calculated volume: 76 Å³ per cell. The calculation puts the calculated formation energy at 0.72 eV per atom. The space-group type is No. 123. The value obtained for the relative energy among the computed polymorphs is 411 meV per atom. The calculation puts the energy at -33.744 eV for the cell shown.

The structure in POSCAR format:
```
LaNiW2
1.0
-2.6938 -2.0846 1.8119
-1.5343 -0.9752 -3.4029
3.0373 -4.0952 -0.1959
La W Ni
1 2 1
direct
0.5000 0.0000 0.5000
0.5000 0.5000 0.0000
0.0000 0.0000 0.0000
0.0000 0.5000 0.5000
```

---

A plane-wave DFT calculation with PBE was carried out for a relaxed CaTbNd crystal.

As for the calculated volume: 223 Å³ per cell. The calculation puts the calculated formation energy at 0.26 eV per atom. The space-group type is No. 129. The value obtained for the relative energy among the computed polymorphs is 232 meV per atom. The calculation puts the energy at -21.221 eV for the cell shown.

The structure in POSCAR format:
```
CaTbNd
1.0
-4.9664 0.1178 0.2021
-0.0981 -4.9483 0.4740
0.3846 0.8504 8.9566
Nd Tb Ca
2 2 2
direct
0.5000 0.5000 0.0000
0.0000 0.0000 0.0000
0.5000 0.0000 0.2805
0.0000 0.5000 0.7195
0.0000 0.5000 0.3267
0.5000 0.0000 0.6733
```

---

A plane-wave DFT calculation with PBE was carried out for a relaxed Pm3HoTh2S6 crystal.

As for the calculated volume: 274 Å³ per cell. The space-group type is No. 12. The calculation puts the energy at -81.750 eV for the cell shown. The formation energy from raw total energies is -1.943 eV/atom.

The structure in POSCAR format:
```
Pm3HoTh2S6
1.0
-1.0066 4.7735 4.9409
1.4055 -6.5649 1.7717
6.2799 1.9657 -2.2529
Pm S Ho Th
3 6 1 2
direct
0.8317 0.1683 0.5000
0.1683 0.8317 0.5000
0.5000 0.5000 0.5000
0.2425 0.2425 0.7520
0.7575 0.7575 0.2480
0.0818 0.4072 0.2460
0.4072 0.0818 0.2460
0.5928 0.9182 0.7540
0.9182 0.5928 0.7540
0.0000 0.0000 0.0000
0.3333 0.6667 0.0000
0.6667 0.3333 0.0000
```

---

A plane-wave DFT calculation with PBE was carried out for a relaxed Dy3Ag12Pb5 crystal.

As for the calculated volume: 2350 Å³ per cell. The calculation puts the calculated formation energy at 0.30 eV per atom. The space-group type is No. 230. The calculation puts the energy at -242.223 eV for the cell shown.

The structure in POSCAR format:
```
Dy3Ag12Pb5
1.0
14.5062 0.0000 0.0000
-4.8354 13.6766 0.0000
-4.8354 -6.8383 11.8443
Ag Dy Pb
48 12 20
direct
0.8510 0.2702 0.4276
0.2298 0.5724 0.6490
0.7298 0.1490 0.0724
0.9276 0.3510 0.2702
0.3426 0.7702 0.4192
0.5808 0.7298 0.6574
0.0724 0.4234 0.8426
0.3510 0.9276 0.7702
0.0724 0.6490 0.7298
0.5724 0.3426 0.9234
0.4192 0.2702 0.3426
0.5766 0.6490 0.4192
0.6490 0.0724 0.2298
0.7702 0.4276 0.3510
0.8510 0.5808 0.9234
0.9276 0.5766 0.1574
0.7702 0.3426 0.9192
0.5808 0.8510 0.4234
0.1490 0.7298 0.5724
0.5766 0.9276 0.6574
0.0808 0.1574 0.2298
0.8426 0.9234 0.0724
0.4234 0.0724 0.3426
0.8426 0.9192 0.2702
0.9192 0.0766 0.6490
0.1574 0.0766 0.9276
0.4276 0.6574 0.0766
0.2298 0.6574 0.0808
0.5724 0.2298 0.1490
0.4276 0.7702 0.8510
0.6490 0.5766 0.9192
0.1490 0.4192 0.0766
0.0808 0.9234 0.3510
0.7298 0.5808 0.1574
0.9234 0.8426 0.5724
0.2702 0.8510 0.9276
0.9192 0.8426 0.7702
0.0766 0.9192 0.1490
0.0766 0.1574 0.4276
0.4192 0.1490 0.5766
0.2702 0.4192 0.8426
0.4234 0.3510 0.5808
0.6574 0.2298 0.5808
0.1574 0.0808 0.7298
0.9234 0.0808 0.8510
0.6574 0.4276 0.5766
0.3510 0.4234 0.0808
0.3426 0.5724 0.4234
0.2500 0.6250 0.8750
0.6250 0.2500 0.3750
0.8750 0.7500 0.1250
0.1250 0.8750 0.7500
0.1250 0.2500 0.8750
0.3750 0.7500 0.6250
0.2500 0.1250 0.3750
0.8750 0.1250 0.2500
0.6250 0.3750 0.7500
0.7500 0.3750 0.1250
0.7500 0.8750 0.6250
0.3750 0.6250 0.2500
0.6250 0.8750 0.2500
0.6250 0.7500 0.8750
0.7500 0.6250 0.3750
0.2500 0.8750 0.1250
0.0000 0.0000 0.5000
0.1250 0.3750 0.2500
0.5000 0.5000 0.0000
0.3750 0.2500 0.1250
0.1250 0.7500 0.3750
0.5000 0.0000 0.0000
0.5000 0.0000 0.5000
0.0000 0.0000 0.0000
0.8750 0.2500 0.6250
0.8750 0.6250 0.7500
0.2500 0.3750 0.6250
0.3750 0.1250 0.7500
0.0000 0.5000 0.0000
0.5000 0.5000 0.5000
0.0000 0.5000 0.5000
0.7500 0.1250 0.8750
```

---

A plane-wave DFT calculation with PBE was carried out for a relaxed Nb2ZnTcH crystal.

As for the calculated volume: 67 Å³ per cell. The space-group type is No. 123. The value obtained for the relative energy among the computed polymorphs is 0 meV per atom. The calculation puts the energy at -35.571 eV for the cell shown.

The structure in POSCAR format:
```
Nb2ZnTcH
1.0
-3.2063 2.5888 -0.4002
-2.4999 -3.2129 -0.7549
-0.7428 -0.3255 3.8449
Nb H Zn Tc
2 1 1 1
direct
0.5000 0.0000 0.0000
0.0000 0.5000 0.0000
0.0000 0.0000 0.0000
0.5000 0.5000 0.5000
0.0000 0.0000 0.5000
```

---

A plane-wave DFT calculation with PBE was carried out for a relaxed Ba2CaTl crystal.

As for the calculated volume: 178 Å³ per cell. The calculation puts the calculated formation energy at -0.11 eV per atom. The space-group type is No. 71. The value obtained for the relative energy among the computed polymorphs is 105 meV per atom. The calculation puts the energy at -8.651 eV for the cell shown.

The structure in POSCAR format:
```
Ba2CaTl
1.0
7.5549 0.1062 -0.0336
6.1855 4.3390 -0.0336
2.4749 0.8007 5.5189
Ca Ba Tl
1 2 1
direct
0.2500 0.2500 0.2500
0.0405 0.0405 0.9595
0.4595 0.4595 0.5405
0.7500 0.7500 0.7500
```

---

A plane-wave DFT calculation with PBE was carried out for a relaxed KIn6Au3 crystal.

As for the calculated volume: 526 Å³ per cell. The calculation puts the calculated formation energy at -0.22 eV per atom. The space-group type is No. 11. The calculation puts the energy at -59.044 eV for the cell shown.

The structure in POSCAR format:
```
KIn6Au3
1.0
4.6633 0.0000 0.0000
0.0000 10.4438 -1.6569
0.0000 0.6754 10.7029
Au K In
6 2 12
direct
0.2500 0.8698 0.8509
0.7500 0.7089 0.4773
0.7500 0.4902 0.8390
0.2500 0.5098 0.1610
0.7500 0.1302 0.1491
0.2500 0.2911 0.5227
0.7500 0.0866 0.7279
0.2500 0.9134 0.2721
0.2500 0.3364 0.7960
0.7500 0.3724 0.0611
0.7500 0.1451 0.4210
0.2500 0.1167 0.9805
0.7500 0.7325 0.7448
0.2500 0.8549 0.5790
0.7500 0.4415 0.5773
0.2500 0.5585 0.4227
0.2500 0.2675 0.2552
0.7500 0.6636 0.2040
0.7500 0.8833 0.0195
0.2500 0.6276 0.9389
```

---

A plane-wave DFT calculation with PBE was carried out for a relaxed PmAgPt2 crystal.

As for the calculated volume: 76 Å³ per cell. The calculation puts the calculated formation energy at -0.70 eV per atom. The space-group type is No. 123. The value obtained for the relative energy among the computed polymorphs is 0 meV per atom. The calculation puts the energy at -22.493 eV for the cell shown.

The structure in POSCAR format:
```
PmAgPt2
1.0
4.1220 0.0000 0.0000
0.0000 4.3063 0.0000
0.0000 0.0000 4.3063
Pt Pm Ag
2 1 1
direct
0.0000 0.0000 0.5000
0.0000 0.5000 0.0000
0.5000 0.5000 0.5000
0.5000 0.0000 0.0000
```

---

A plane-wave DFT calculation with PBE was carried out for a relaxed Tl2Sb2Te crystal.

As for the calculated volume: 167 Å³ per cell. The space-group type is No. 139. The value obtained for the relative energy among the computed polymorphs is 0 meV per atom. The calculation puts the energy at -16.066 eV for the cell shown. The formation energy from raw total energies is 0.011 eV/atom.

The structure in POSCAR format:
```
Tl2Sb2Te
1.0
4.2306 0.0000 0.0000
0.0000 4.2306 0.0000
2.1153 2.1153 9.3238
Sb Tl Te
2 2 1
direct
0.2500 0.7500 0.5000
0.7500 0.2500 0.5000
0.4070 0.4070 0.1861
0.5930 0.5930 0.8139
0.0000 0.0000 0.0000
```

---

A plane-wave DFT calculation with PBE was carried out for a relaxed Dy2TiGe3Ir4 crystal.

As for the calculated volume: 182 Å³ per cell. The calculation puts the calculated formation energy at -0.82 eV per atom. The space-group type is No. 115. The calculation puts the energy at -74.604 eV for the cell shown.

The structure in POSCAR format:
```
Dy2TiGe3Ir4
1.0
4.1033 0.0000 0.0000
0.0000 4.1033 0.0000
0.0000 0.0000 10.7947
Ir Ge Dy Ti
4 3 2 1
direct
0.5000 0.0000 0.6424
0.0000 0.5000 0.3576
0.0000 0.0000 0.0000
0.5000 0.5000 0.0000
0.0000 0.5000 0.1304
0.0000 0.0000 0.5000
0.5000 0.0000 0.8696
0.5000 0.0000 0.2383
0.0000 0.5000 0.7617
0.5000 0.5000 0.5000
```

---

A plane-wave DFT calculation with PBE was carried out for a relaxed K2TcB crystal.

As for the calculated volume: 305 Å³ per cell. The calculation puts the calculated formation energy at 1.03 eV per atom. The space-group type is No. 122. The calculation puts the energy at -30.208 eV for the cell shown.

The structure in POSCAR format:
```
K2TcB
1.0
12.1263 0.0000 0.0000
0.0000 12.1263 0.0000
6.0632 6.0632 2.0748
K B Tc
4 2 2
direct
0.3208 0.6250 0.2500
0.8750 0.6792 0.7500
0.4292 0.1250 0.2500
0.3750 0.5708 0.7500
0.5000 0.5000 0.0000
0.2500 0.7500 0.5000
0.0000 0.0000 0.0000
0.7500 0.2500 0.5000
```

---

A plane-wave DFT calculation with PBE was carried out for a relaxed BaCa4Pt crystal.

As for the calculated volume: 227 Å³ per cell. The calculation puts the calculated formation energy at 0.34 eV per atom. The space-group type is No. 216. The calculation puts the energy at -13.902 eV for the cell shown.

The structure in POSCAR format:
```
BaCa4Pt
1.0
0.0000 4.8413 4.8413
4.8413 0.0000 4.8413
4.8413 4.8413 0.0000
Ca Pt Ba
4 1 1
direct
0.3760 0.8719 0.3760
0.3760 0.3760 0.3760
0.8719 0.3760 0.3760
0.3760 0.3760 0.8719
0.7500 0.7500 0.7500
0.0000 0.0000 0.0000
```

---

A plane-wave DFT calculation with PBE was carried out for a relaxed Y2ScCd2 crystal.

As for the calculated volume: 258 Å³ per cell. The calculation puts the calculated formation energy at -0.24 eV per atom. The space-group type is No. 63. The value obtained for the relative energy among the computed polymorphs is 0 meV per atom. The calculation puts the energy at -44.532 eV for the cell shown.

The structure in POSCAR format:
```
Y2ScCd2
1.0
3.6451 0.0000 -0.4889
0.0000 5.1933 0.0000
-0.0299 0.0000 13.6424
Cd Sc Y
4 2 4
direct
0.3591 0.2500 0.7179
0.4425 0.7500 0.8846
0.5575 0.2500 0.1154
0.6409 0.7500 0.2821
0.1504 0.2500 0.3011
0.8496 0.7500 0.6989
0.9553 0.2500 0.9104
0.2359 0.7500 0.4724
0.7641 0.2500 0.5276
0.0447 0.7500 0.0896
```

---

A plane-wave DFT calculation with PBE was carried out for a relaxed MgGeAs crystal.

As for the calculated volume: 125 Å³ per cell. The calculation puts the calculated formation energy at 0.03 eV per atom. The space-group type is No. 38. The calculation puts the energy at -21.547 eV for the cell shown.

The structure in POSCAR format:
```
MgGeAs
1.0
3.7314 0.0000 0.0000
-1.8657 2.9627 0.0000
0.0000 0.0000 11.3099
As Mg Ge
2 2 2
direct
0.6181 0.2363 0.3444
0.6181 0.2363 0.6556
0.2672 0.5345 0.1764
0.2672 0.5345 0.8236
0.2718 0.5435 0.5000
0.6241 0.2482 0.0000
```

---

A plane-wave DFT calculation with PBE was carried out for a relaxed CeZn11Pt crystal.

As for the calculated volume: 210 Å³ per cell. The calculation puts the calculated formation energy at -0.26 eV per atom. The space-group type is No. 12. The calculation puts the energy at -29.309 eV for the cell shown.

The structure in POSCAR format:
```
CeZn11Pt
1.0
-2.3631 -3.9757 2.3684
0.3985 -5.8529 -3.5959
4.2672 -3.4495 4.1672
Zn Pt Ce
11 1 1
direct
0.7216 0.7823 0.7793
0.6340 0.3554 0.3532
0.0000 0.5000 0.0000
0.0128 0.6446 0.3532
0.5009 0.7823 0.2207
0.4991 0.2177 0.7793
0.5000 0.0000 0.5000
0.2784 0.2177 0.2207
0.3660 0.6446 0.6468
0.0000 0.0000 0.5000
0.9872 0.3554 0.6468
0.5000 0.5000 0.0000
0.0000 0.0000 0.0000
```

---

A plane-wave DFT calculation with PBE was carried out for a relaxed MgC3Cl crystal.

As for the calculated volume: 60 Å³ per cell. The space-group type is No. 221. The value obtained for the relative energy among the computed polymorphs is 0 meV per atom. The calculation puts the energy at -15.838 eV for the cell shown. The formation energy from raw total energies is 3.055 eV/atom.

The structure in POSCAR format:
```
MgC3Cl
1.0
-2.6827 -2.4034 1.5391
2.7682 -2.7051 0.6011
0.6941 1.4995 3.5513
C Cl Mg
3 1 1
direct
0.5000 0.0000 0.0000
0.0000 0.5000 0.0000
0.0000 0.0000 0.5000
0.0000 0.0000 0.0000
0.5000 0.5000 0.5000
```

---

A plane-wave DFT calculation with PBE was carried out for a relaxed Nb2GaS crystal.

As for the calculated volume: 64 Å³ per cell. The space-group type is No. 225. The value obtained for the relative energy among the computed polymorphs is 0 meV per atom. The calculation puts the energy at -28.005 eV for the cell shown. The formation energy from raw total energies is -0.178 eV/atom.

The structure in POSCAR format:
```
Nb2GaS
1.0
0.0000 3.1758 3.1758
3.1758 0.0000 3.1758
3.1758 3.1758 0.0000
Nb S Ga
2 1 1
direct
0.7500 0.7500 0.7500
0.2500 0.2500 0.2500
0.0000 0.0000 0.0000
0.5000 0.5000 0.5000
```

---

A plane-wave DFT calculation with PBE was carried out for a relaxed TmCd11 crystal.

As for the calculated volume: 552 Å³ per cell. The calculation puts the calculated formation energy at -0.01 eV per atom. The space-group type is No. 141. The calculation puts the energy at -29.395 eV for the cell shown.

The structure in POSCAR format:
```
TmCd11
1.0
-5.1691 -1.7185 -5.4460
-6.7564 -5.7585 2.7827
-7.2768 5.7851 -0.3660
Cd Tm
22 2
direct
0.3750 0.7500 0.7500
0.1564 0.4218 0.1819
0.8750 0.2500 0.7500
0.3282 0.0782 0.6818
0.5936 0.3182 0.0782
0.7600 0.8182 0.5782
0.9900 0.9218 0.6818
0.9900 0.6818 0.9218
0.7600 0.5782 0.8182
0.0882 0.3182 0.9218
0.6618 0.5782 0.1819
0.0000 0.0000 0.0000
0.1564 0.1819 0.4218
0.5936 0.0782 0.3182
0.0882 0.9218 0.3182
0.7500 0.5000 0.5000
0.3282 0.6818 0.0782
0.4218 0.4218 0.8182
0.8750 0.2500 0.2500
0.8750 0.7500 0.2500
0.4218 0.8182 0.4218
0.6618 0.1819 0.5782
0.5000 0.0000 0.0000
0.2500 0.5000 0.5000
```

---

A plane-wave DFT calculation with PBE was carried out for a relaxed CaYSi4 crystal.

As for the calculated volume: 108 Å³ per cell. The space-group type is No. 216. The value obtained for the relative energy among the computed polymorphs is 163 meV per atom. The calculation puts the energy at -31.722 eV for the cell shown. The formation energy from raw total energies is -0.261 eV/atom.

The structure in POSCAR format:
```
CaYSi4
1.0
-1.3239 -4.6911 -2.2023
-1.5626 -4.0657 3.1044
-5.1074 -1.5879 -0.0426
Y Si Ca
1 4 1
direct
0.7500 0.7500 0.7500
0.8766 0.3745 0.3745
0.3745 0.3745 0.8766
0.3745 0.8766 0.3745
0.3745 0.3745 0.3745
0.0000 0.0000 0.0000
```

---

Calculated M_tot in order - 0.0 0.0 0.0 0.0 0.0 0.0 0.0 0.0 0.0 0.0 0.0 2.1 0.0 0.0 0.0 0.8 0.0 0.0 0.0 0.0 μB/f.u.